Ce2ThScSb4 | GGA-PBE | optimized geometry

Computed properties:
Formation energy without anion corrections, kJ/mol of formula units: -752

Cell: 7.639 4.438 7.712 Å, 90.00 109.48 90.00°
Sites, in units of the cell vectors:
Ce: 0.000 0.000 0.000
Ce: 0.500 0.500 0.000
Th: 0.000 0.500 0.500
Sc: 0.500 0.000 0.500
Sb: 0.260 0.000 0.744
Sb: 0.266 0.500 0.264
Sb: 0.734 0.500 0.736
Sb: 0.740 0.000 0.256